Entry from the Alexandria database: an optimized crystal structure of Mg2IrSe (PBE).

Cell lengths 4.597, 4.597, 3.287 Å; angles 90.00, 90.00, 100.84 degrees
Atoms (fractional coordinates):
1 Mg 0.000 0.000 0.000
2 Mg 0.500 0.500 0.000
3 Ir 0.000 0.500 0.500
4 Se 0.500 0.000 0.500

Computed properties:
E = -4.26 eV/atom
Symmetry = Cmmm (65)
V = 68.2 Å³ per cell